[1]
Density functional theory data (PBE) for crystalline ReMo at its relaxed geometry.

Computed properties:
M_tot = 0.00 μB per formula unit
ρ = 13.03 g/cm³
Final energy = -10.88 eV/atom
DOS(E_F) = 1.4 states/eV/f.u.

Cell: 4.0121 4.0121 5.1598 Å, 90.00 90.00 120.00°
With the nearest neighbours (Å) after each atom.
Element x y z (fractional)
Re1 0.0000 0.0000 0.0000  2 Re 2.58, 6 Mo 2.65
Re2 0.0000 0.0000 0.5000  2 Re 2.58, 6 Mo 2.65
Mo1 0.3333 0.6667 0.2500  6 Re 2.65
Mo2 0.6667 0.3333 0.7500  6 Re 2.65

[2]
Density functional theory data (PBE) for crystalline KTlPd3 at its relaxed geometry.

Computed properties:
M_tot = 0.00 μB per formula unit
ρ = 8.42 g/cm³
Final energy = -3.88 eV/atom
DOS(E_F) = 2.4 states/eV/f.u.

Cell: 7.0586 7.0586 7.0586 Å, 132.54 117.22 82.33°
With the nearest neighbours (Å) after each atom.
Element x y z (fractional)
K1 0.0000 0.0000 0.0000  10 Pd 3.24-3.57, 4 Tl 3.39
K2 0.5000 0.0000 0.5000  10 Pd 3.24-3.57, 4 Tl 3.39
Tl1 0.2759 0.5259 0.7500  6 Pd 2.75-2.94
Tl2 0.7241 0.4741 0.2500  6 Pd 2.75-2.94
Pd1 0.1347 0.6981 0.4366  5 Pd 2.74-3.05, 2 Tl 2.75-2.94
Pd2 0.2385 0.3019 0.9366  5 Pd 2.74-3.05, 2 Tl 2.75-2.94
Pd3 0.5000 0.0000 0.0000  6 Pd 2.76-2.84, 2 Tl 2.77
Pd4 0.5000 0.5000 0.5000  6 Pd 2.76-2.84, 2 Tl 2.77
Pd5 0.7615 0.6981 0.0634  5 Pd 2.74-3.05, 2 Tl 2.75-2.94
Pd6 0.8653 0.3019 0.5634  5 Pd 2.74-3.05, 2 Tl 2.75-2.94

[3]
Density functional theory data (PBE) for crystalline La2TeBr at its relaxed geometry.

Computed properties:
M_tot = 0.00 μB per formula unit
ρ = 6.29 g/cm³
Raw formation energy = -1.365 eV per atom
DOS(E_F) = 4.1 states/eV/f.u.

Cell: 4.2418 4.2418 24.6578 Å, 90.00 90.00 120.00°
With the nearest neighbours (Å) after each atom.
Element x y z (fractional)
La1 0.0000 0.0000 0.0000  3 Te 3.16, 3 Br 3.23
La2 0.0000 0.0000 0.1716  3 Te 3.15, 3 Br 3.24
La3 0.3333 0.6667 0.6667  3 Te 3.16, 3 Br 3.23
La4 0.3333 0.6667 0.8382  3 Te 3.15, 3 Br 3.24
La5 0.6667 0.3333 0.3333  3 Te 3.16, 3 Br 3.23
La6 0.6667 0.3333 0.5049  3 Te 3.15, 3 Br 3.24
Te1 0.0000 0.0000 0.5855  6 La 3.15-3.16
Te2 0.3333 0.6667 0.2522  6 La 3.15-3.16
Te3 0.6667 0.3333 0.9189  6 La 3.15-3.16
Br1 0.0000 0.0000 0.4188  6 La 3.23-3.24
Br2 0.3333 0.6667 0.0855  6 La 3.23-3.24
Br3 0.6667 0.3333 0.7522  6 La 3.23-3.24

[4]
Density functional theory data (PBE) for crystalline YMgCu2 at its relaxed geometry.

Computed properties:
M_tot = 0.00 μB per formula unit
ρ = 5.30 g/cm³
Final energy = -4.15 eV/atom
DOS(E_F) = 3.9 states/eV/f.u.

Cell: 3.3125 4.7790 4.7557 Å, 90.00 90.15 90.00°
With the nearest neighbours (Å) after each atom.
Element x y z (fractional)
Y1 0.0000 0.0000 0.0000  8 Cu 2.89-2.91
Mg1 0.0000 0.5000 0.5000  8 Cu 2.89-2.91
Cu1 0.5000 0.0000 0.5000  4 Y 2.89-2.90, 4 Mg 2.91
Cu2 0.5000 0.5000 0.0000  4 Mg 2.89-2.90, 4 Y 2.91

[5]
Density functional theory data (PBE) for crystalline Ce2ZnRe at its relaxed geometry.

Computed properties:
M_tot = 0.00 μB per formula unit
ρ = 9.87 g/cm³
Final energy = -6.42 eV/atom
DOS(E_F) = 6.6 states/eV/f.u.

Cell: 3.4155 3.4155 7.6722 Å, 90.00 90.00 90.00°
With the nearest neighbours (Å) after each atom.
Element x y z (fractional)
Ce1 0.0000 0.0000 0.2282  4 Re 2.98, 4 Zn 3.19
Ce2 0.0000 0.0000 0.7718  4 Re 2.98, 4 Zn 3.19
Zn1 0.5000 0.5000 0.5000  8 Ce 3.19, 4 Zn 3.42
Re1 0.5000 0.5000 0.0000  8 Ce 2.98

[6]
Density functional theory data (PBE) for crystalline SrLi2SiO4 at its relaxed geometry.

Computed properties:
M_tot = 0.00 μB per formula unit
ρ = 3.43 g/cm³
Raw formation energy = -2.672 eV per atom
DOS(E_F) = 0.0 states/eV/f.u.

Cell: 5.0815 5.0815 12.5704 Å, 90.00 90.00 120.00°
With the nearest neighbours (Å) after each atom.
Element x y z (fractional)
Sr1 0.0000 0.4194 0.1667  8 O 2.58-2.70, 2 Li 2.84
Sr2 0.4194 0.0000 0.8333  8 O 2.58-2.70, 2 Li 2.84
Sr3 0.5806 0.5806 0.5000  8 O 2.58-2.70, 2 Li 2.84
Li1 0.0735 0.4092 0.9211  4 O 1.96-2.04
Li2 0.3357 0.9265 0.5878  4 O 1.96-2.04
Li3 0.4092 0.0735 0.0789  4 O 1.96-2.04
Li4 0.5908 0.6643 0.2544  4 O 1.96-2.04
Li5 0.6643 0.5908 0.7456  4 O 1.96-2.04
Li6 0.9265 0.3357 0.4122  4 O 1.96-2.04
Si1 0.0000 0.2763 0.6667  4 O 1.66
Si2 0.2763 0.0000 0.3333  4 O 1.66
Si3 0.7237 0.7237 0.0000  4 O 1.66
O1 0.0357 0.4842 0.5604  1 Si 1.66
O2 0.0680 0.7622 0.9957  1 Si 1.66
O3 0.2378 0.3058 0.3291  1 Si 1.66
O4 0.3058 0.2378 0.6709  1 Si 1.66
O5 0.4485 0.9643 0.2271  1 Si 1.66
O6 0.4842 0.0357 0.4396  1 Si 1.66
O7 0.5158 0.5515 0.8937  1 Si 1.66
O8 0.5515 0.5158 0.1063  1 Si 1.66
O9 0.6942 0.9320 0.6624  1 Si 1.66
O10 0.7622 0.0680 0.0043  1 Si 1.66
O11 0.9320 0.6942 0.3376  1 Si 1.66
O12 0.9643 0.4485 0.7729  1 Si 1.66